! Nb2PbO meta-GGA SCAN single point on PBEsol structure; values from VASP
! D(E_F), states/eV/f.u.: 1.0
&SYSTEM
  ibrav = 0, nat = 4, ntyp = 3
/
ATOMIC_SPECIES
Nb 92.91 Nb.upf
Pb 207.20 Pb.upf
O 16.00 O.upf
ATOMIC_POSITIONS angstrom
Nb 1.6039 1.6039 1.6039
Nb 4.8118 4.8118 4.8118
Pb 0.0000 0.0000 0.0000
O 3.2079 3.2079 3.2079
CELL_PARAMETERS angstrom
0.0000 3.2079 3.2079
3.2079 0.0000 3.2079
3.2079 3.2079 0.0000



This record from the Alexandria database describes Nb2Pb2O7 at its PBEsol-relaxed geometry. The functional is meta-GGA SCAN. Values from VASP.

Quantum ESPRESSO input file:
```
&SYSTEM
  ibrav = 0, nat = 22, ntyp = 3
/
ATOMIC_SPECIES
Nb 92.91 Nb.upf
Pb 207.20 Pb.upf
O 16.00 O.upf
ATOMIC_POSITIONS angstrom
Nb 0.0000 0.0000 0.0000
Nb 2.6856 2.6856 0.0000
Nb 2.6856 0.0000 2.6856
Nb 0.0000 2.6856 2.6856
Pb 5.3712 2.6856 2.6856
Pb 2.6856 5.3712 2.6856
Pb 2.6856 2.6856 5.3712
Pb 5.3712 5.3712 5.3712
O 4.0284 4.0284 0.6647
O 4.0284 0.6647 4.0284
O 7.3921 4.0284 4.0284
O 6.7140 6.7140 3.3503
O 6.7140 3.3503 6.7140
O 10.0777 6.7140 6.7140
O 4.0284 4.0284 4.0284
O 6.7140 6.7140 6.7140
O 0.6647 4.0284 4.0284
O 4.0284 7.3921 4.0284
O 4.0284 4.0284 7.3921
O 3.3503 6.7140 6.7140
O 6.7140 10.0777 6.7140
O 6.7140 6.7140 10.0777
CELL_PARAMETERS angstrom
0.0000 5.3712 5.3712
5.3712 0.0000 5.3712
5.3712 5.3712 0.0000
```



! Nb2Pb2Se4O15 meta-GGA SCAN single point on PBEsol structure; values from VASP
! D(E_F), states/eV/f.u.: 0.0
&SYSTEM
  ibrav = 0, nat = 46, ntyp = 4
/
ATOMIC_SPECIES
Nb 92.91 Nb.upf
Pb 207.20 Pb.upf
Se 78.96 Se.upf
O 16.00 O.upf
ATOMIC_POSITIONS angstrom
Nb 1.7902 0.0601 1.8436
Nb 1.5284 -0.0601 5.6824
Nb 24.7079 0.0601 1.9952
Nb 24.4461 -0.0601 5.8340
Pb 7.5554 0.7972 5.2942
Pb 7.8172 -0.7972 1.4554
Pb 18.4191 0.7972 6.2222
Pb 18.6809 -0.7972 2.3834
Se 4.5492 0.7599 7.2138
Se 4.8109 -0.7599 3.3750
Se 10.9606 0.4747 3.7194
Se 10.6988 -0.4747 7.5582
Se 15.5375 0.4747 0.1194
Se 15.2758 -0.4747 3.9582
Se 21.4254 0.7599 4.3026
Se 21.6872 -0.7599 0.4638
O 2.0452 0.5184 0.0831
O 12.9873 3.4616 5.7582
O 7.4407 1.6283 1.4213
O 3.8527 0.0472 2.1593
O 1.7835 -0.5184 3.9219
O 3.5909 -0.0472 5.9981
O 6.0119 0.4695 3.4879
O 11.2161 1.5723 2.3719
O 11.0021 1.5256 5.1139
O 5.7501 -0.4695 7.3267
O 9.3198 0.1225 3.6033
O 15.2821 1.5723 1.4669
O 14.9724 1.5256 6.4025
O 9.0580 -0.1225 7.4421
O 19.0574 1.6283 2.4175
O 7.1789 -1.6283 5.2601
O 17.1783 0.1225 0.2355
O 11.2639 -1.5256 1.2751
O 10.9543 -1.5723 6.2107
O 16.9165 -0.1225 4.0743
O 20.4862 0.4695 0.3509
O 15.2342 -1.5256 2.5637
O 15.0203 -1.5723 5.3057
O 20.2244 -0.4695 4.1897
O 22.6454 0.0472 1.6795
O 24.4529 0.5184 3.7557
O 22.3836 -0.0472 5.5183
O 18.7956 -1.6283 6.2563
O 13.2491 -3.4616 1.9194
O 24.1911 -0.5184 7.5945
CELL_PARAMETERS angstrom
13.3800 -3.4989 0.0000
13.3800 3.4989 0.0000
-0.5236 0.0000 7.6776



This record from the Alexandria database describes TiNb2ZnPb4O12 at its PBEsol-relaxed geometry. The functional is meta-GGA SCAN. Values from VASP.

Quantum ESPRESSO input file:
```
&SYSTEM
  ibrav = 0, nat = 20, ntyp = 5
/
ATOMIC_SPECIES
Ti 47.87 Ti.upf
Nb 92.91 Nb.upf
Zn 65.41 Zn.upf
Pb 207.20 Pb.upf
O 16.00 O.upf
ATOMIC_POSITIONS angstrom
Ti 0.0000 0.0000 0.0000
Nb 4.0378 0.0000 0.0095
Nb 12.3694 0.0000 0.0095
Zn 8.2036 0.0000 5.7381
Pb 1.9014 0.0000 2.7189
Pb 6.5470 0.0000 2.6543
Pb 9.8602 0.0000 2.6543
Pb 14.5059 0.0000 2.7189
O 0.0000 -1.4007 1.7046
O 0.0000 1.4007 1.7046
O 1.9237 0.0000 0.3129
O 3.8655 -1.3866 1.6497
O 3.8655 1.3866 1.6497
O 5.9059 0.0000 0.2653
O 8.2036 -1.3314 1.5977
O 8.2036 1.3314 1.5977
O 10.5013 0.0000 0.2653
O 12.5417 -1.3866 1.6497
O 12.5417 1.3866 1.6497
O 14.4835 0.0000 0.3129
CELL_PARAMETERS angstrom
16.4072 0.0000 0.0000
0.0000 2.8377 2.8695
0.0000 -2.8377 2.8695
```



! Pr3NbO7 meta-GGA SCAN single point on PBEsol structure; values from VASP
! D(E_F), states/eV/f.u.: 0.0
&SYSTEM
  ibrav = 0, nat = 22, ntyp = 3
/
ATOMIC_SPECIES
Pr 140.91 Pr.upf
Nb 92.91 Nb.upf
O 16.00 O.upf
ATOMIC_POSITIONS angstrom
Pr 0.0000 0.0000 0.0000
Pr 0.0000 0.0000 3.8495
Pr 3.0358 1.4842 5.7743
Pr 3.0358 -1.4842 1.9248
Pr 7.9743 1.4842 5.7743
Pr 7.9743 -1.4842 1.9248
Nb 5.5050 0.0000 0.0000
Nb 5.5050 0.0000 3.8495
O 1.4358 0.1875 1.9248
O 1.4358 -0.1875 5.7743
O 4.1100 1.4083 0.2855
O 4.1100 1.4083 3.5640
O 5.5050 0.5518 5.7743
O 6.9001 1.4083 0.2855
O 6.9001 1.4083 3.5640
O 4.1100 -1.4083 4.1350
O 4.1100 -1.4083 7.4136
O 5.5050 -0.5518 1.9248
O 6.9001 -1.4083 4.1350
O 6.9001 -1.4083 7.4136
O 9.5743 0.1875 1.9248
O 9.5743 -0.1875 5.7743
CELL_PARAMETERS angstrom
5.5050 -3.7324 0.0000
5.5050 3.7324 0.0000
0.0000 0.0000 7.6990



! RbPrNb2O7 meta-GGA SCAN single point on PBEsol structure; values from VASP
! D(E_F), states/eV/f.u.: 0.0
&SYSTEM
  ibrav = 0, nat = 22, ntyp = 4
/
ATOMIC_SPECIES
Rb 85.47 Rb.upf
Pr 140.91 Pr.upf
Nb 92.91 Nb.upf
O 16.00 O.upf
ATOMIC_POSITIONS angstrom
Rb 0.0000 0.0000 0.0000
Rb 0.0000 11.0054 0.0000
Pr 0.0000 5.5027 0.0614
Pr 2.7361 5.5027 2.7124
Nb 2.7361 3.2586 -0.0313
Nb 2.7361 7.7468 -0.0313
Nb 0.0000 3.2586 2.8050
Nb 0.0000 7.7468 2.8050
O 2.7361 1.4916 -0.3526
O 1.3681 7.0683 -1.3869
O 1.3681 -3.9372 1.3869
O 2.7361 5.5027 0.3901
O 2.7361 9.5139 -0.3526
O 1.3681 14.4123 -1.3869
O 1.3681 3.4069 1.3869
O -1.3681 7.5985 1.3869
O 1.3681 7.5985 1.3869
O 0.0000 1.4916 3.1264
O 0.0000 5.5027 2.3837
O -1.3681 14.9426 1.3869
O 1.3681 14.9426 1.3869
O 0.0000 9.5139 3.1264
CELL_PARAMETERS angstrom
-2.7361 11.0054 2.7738
2.7361 -11.0054 2.7738
2.7361 11.0054 -2.7738



! Pr2Nb2S7O30 meta-GGA SCAN single point on PBEsol structure; values from VASP
! D(E_F), states/eV/f.u.: 7.9
&SYSTEM
  ibrav = 0, nat = 82, ntyp = 4
/
ATOMIC_SPECIES
Pr 140.91 Pr.upf
Nb 92.91 Nb.upf
S 32.06 S.upf
O 16.00 O.upf
ATOMIC_POSITIONS angstrom
Pr 2.5593 3.9220 0.6820
Pr 3.9220 10.4034 6.5095
Pr 9.0406 2.5593 6.5095
Pr 10.4034 9.0406 0.6820
Nb 1.7706 8.2520 3.7228
Nb 4.7107 1.7706 3.4688
Nb 8.2520 11.1920 3.4688
Nb 11.1920 4.7107 3.7228
S 0.0000 6.4813 1.1293
S 0.8626 10.6630 1.4769
S 1.5865 4.8948 4.3544
S 2.2996 0.8626 5.7146
S 4.1817 7.3439 1.4769
S 4.8948 11.3761 2.8372
S 5.6187 4.1817 5.7146
S 6.4813 0.0000 6.0623
S 7.3439 8.7809 5.7146
S 8.0678 1.5865 2.8372
S 8.7809 5.6187 1.4769
S 10.6630 12.1000 5.7146
S 11.3761 8.0678 4.3544
S 12.1000 2.2996 1.4769
O 0.1110 4.6576 4.5230
O 0.5265 2.7088 1.2709
O 0.8575 5.6238 0.3039
O 0.8510 7.3323 2.0005
O 0.8684 1.0035 5.4893
O 1.0035 12.0942 1.7023
O 1.3796 9.9430 2.7311
O 1.7091 10.2321 0.3555
O 1.8238 6.3703 4.5230
O 2.0103 4.4710 3.0351
O 2.2715 4.2098 5.4379
O 2.5695 9.0508 5.0856
O 2.7088 12.4361 5.9207
O 2.7305 1.7091 6.8361
O 3.0196 1.3796 4.4605
O 3.4617 7.8610 2.7311
O 3.7508 8.1904 0.3555
O 3.7725 5.9548 1.2709
O 3.9119 2.5695 2.1060
O 4.2098 10.6911 1.7537
O 4.4710 10.9523 4.1565
O 4.6576 12.8517 2.6686
O 4.7722 3.7508 6.8361
O 5.1017 3.4617 4.4605
O 5.4778 5.6129 5.4893
O 5.6129 7.4848 1.7023
O 5.6303 0.8510 5.1910
O 5.6238 12.1052 6.8876
O 5.9548 9.1901 5.9207
O 6.3703 11.1389 2.6686
O 6.5923 1.8238 2.6686
O 7.0078 3.7725 5.9207
O 7.3388 0.8575 6.8876
O 7.3323 12.1116 5.1910
O 7.3497 5.4778 1.7023
O 7.4848 7.3497 5.4893
O 7.8610 9.5010 4.4605
O 8.1904 9.2118 6.8361
O 8.3051 0.1110 2.6686
O 8.4916 2.0103 4.1565
O 8.7529 2.2715 1.7537
O 9.0508 10.3932 2.1060
O 9.1901 7.0078 1.2709
O 9.2118 4.7722 0.3555
O 9.5010 5.1017 2.7311
O 9.9430 11.5830 4.4605
O 10.2321 11.2535 6.8361
O 10.2539 0.5265 5.9207
O 10.3932 3.9119 5.0856
O 10.6911 8.7529 5.4379
O 10.9523 8.4916 3.0351
O 11.1389 6.5923 4.5230
O 11.2535 2.7305 0.3555
O 11.5830 3.0196 2.7311
O 11.9592 0.8684 1.7023
O 12.0942 11.9592 5.4893
O 12.1116 5.6303 2.0005
O 12.1052 7.3388 0.3039
O 12.4361 10.2539 1.2709
O 12.8517 8.3051 4.5230
CELL_PARAMETERS angstrom
12.9626 0.0000 0.0000
0.0000 12.9626 0.0000
0.0000 0.0000 7.1916



! Nb5Pt3O meta-GGA SCAN single point on PBEsol structure; values from VASP
! D(E_F), states/eV/f.u.: 7.5
&SYSTEM
  ibrav = 0, nat = 18, ntyp = 3
/
ATOMIC_SPECIES
Nb 92.91 Nb.upf
Pt 195.08 Pt.upf
O 16.00 O.upf
ATOMIC_POSITIONS angstrom
Nb -0.9462 1.6388 1.2557
Nb -3.0385 5.2628 3.7672
Nb 1.8923 0.0000 1.2557
Nb 0.9462 1.6388 3.7672
Nb 0.0000 4.6011 0.0000
Nb 0.0000 4.6011 2.5115
Nb 3.9846 2.3005 0.0000
Nb 3.9846 2.3005 2.5115
Nb 6.0770 0.0000 3.7672
Nb 3.0385 5.2628 1.2557
Pt -1.6140 2.7956 3.7672
Pt -2.3706 4.1060 1.2557
Pt 3.2280 0.0000 3.7672
Pt 1.6140 2.7956 1.2557
Pt 4.7413 0.0000 1.2557
Pt 2.3706 4.1060 3.7672
O 0.0000 0.0000 0.0000
O 0.0000 0.0000 2.5115
CELL_PARAMETERS angstrom
7.9693 0.0000 0.0000
-3.9846 6.9016 0.0000
0.0000 0.0000 5.0229



! ScNbPt2O meta-GGA SCAN single point on PBEsol structure; values from VASP
! D(E_F), states/eV/f.u.: 2.6
&SYSTEM
  ibrav = 0, nat = 5, ntyp = 4
/
ATOMIC_SPECIES
Sc 44.96 Sc.upf
Nb 92.91 Nb.upf
Pt 195.08 Pt.upf
O 16.00 O.upf
ATOMIC_POSITIONS angstrom
Sc 0.0000 0.0000 0.0000
Nb 2.2080 2.2080 0.0000
Pt 0.0000 2.2080 2.0049
Pt 2.2080 0.0000 2.0049
O 2.2080 2.2080 2.0049
CELL_PARAMETERS angstrom
4.4160 0.0000 0.0000
0.0000 4.4160 0.0000
0.0000 0.0000 4.0097



! RbNbO3 meta-GGA SCAN single point on PBEsol structure; values from VASP
! D(E_F), states/eV/f.u.: 0.0
&SYSTEM
  ibrav = 0, nat = 5, ntyp = 3
/
ATOMIC_SPECIES
Rb 85.47 Rb.upf
Nb 92.91 Nb.upf
O 16.00 O.upf
ATOMIC_POSITIONS angstrom
Rb 0.0000 0.0000 0.0000
Nb 2.0276 2.0276 2.0276
O 0.0000 2.0276 2.0276
O 2.0276 0.0000 2.0276
O 2.0276 2.0276 0.0000
CELL_PARAMETERS angstrom
4.0552 0.0000 0.0000
0.0000 4.0552 0.0000
0.0000 0.0000 4.0552



! RbNbO3 meta-GGA SCAN single point on PBEsol structure; values from VASP
! D(E_F), states/eV/f.u.: 0.0
&SYSTEM
  ibrav = 0, nat = 20, ntyp = 3
/
ATOMIC_SPECIES
Rb 85.47 Rb.upf
Nb 92.91 Nb.upf
O 16.00 O.upf
ATOMIC_POSITIONS angstrom
Rb 4.8389 2.2406 0.0000
Rb 3.0880 0.0000 2.1864
Rb 5.8480 0.0000 5.9008
Rb 4.8389 -2.2406 0.0000
Nb 4.4680 2.6604 4.0436
Nb 1.9897 0.0000 5.6791
Nb 6.9463 0.0000 2.4081
Nb 4.4680 -2.6604 4.0436
O 3.4608 2.8357 2.2955
O 0.8571 0.0000 3.6238
O 3.3004 1.3685 4.8928
O 5.4752 2.8357 5.7917
O 2.5352 0.0000 7.4202
O 5.6356 1.3685 3.1944
O 3.3004 -1.3685 4.8928
O 6.4008 0.0000 0.6670
O 3.4608 -2.8357 2.2955
O 5.6356 -1.3685 3.1944
O 8.0789 0.0000 4.4635
O 5.4752 -2.8357 5.7917
CELL_PARAMETERS angstrom
4.8389 -4.2776 0.0000
4.8389 4.2776 0.0000
-0.7419 0.0000 8.0872



! Rb4Nb11O30 meta-GGA SCAN single point on PBEsol structure; values from VASP
! D(E_F), states/eV/f.u.: 19.1
&SYSTEM
  ibrav = 0, nat = 45, ntyp = 3
/
ATOMIC_SPECIES
Rb 85.47 Rb.upf
Nb 92.91 Nb.upf
O 16.00 O.upf
ATOMIC_POSITIONS angstrom
Rb 0.0000 0.0000 2.0015
Rb 0.0000 0.0000 9.8495
Rb 0.0000 0.0000 33.9557
Rb 0.0000 0.0000 41.8037
Nb -1.8882 -1.0902 14.6017
Nb -1.8842 -1.0878 23.1758
Nb 0.0000 -2.1756 20.6294
Nb -1.8842 1.0878 20.6294
Nb 0.0000 0.0000 17.5298
Nb -1.8882 1.0902 29.2035
Nb 0.0000 2.1803 14.6017
Nb 0.0000 0.0000 26.2754
Nb 1.8842 -1.0878 23.1758
Nb 0.0000 2.1756 23.1758
Nb 1.8842 1.0878 20.6295
O 0.0000 -1.5203 5.9617
O -1.3166 0.7602 5.9617
O -1.4083 -0.8131 16.5252
O -1.6166 -0.9333 21.0517
O 0.0000 -1.6301 14.2586
O -1.4117 0.8151 14.2586
O 0.0000 -1.6137 18.8651
O -1.3975 0.8068 18.8651
O -1.3975 -0.8068 24.9401
O 1.3166 0.7602 5.9617
O 0.0000 -1.8666 22.7535
O -1.6166 0.9333 22.7535
O -1.4117 -0.8151 29.5466
O 0.0000 -1.6262 27.2800
O -1.4083 0.8131 27.2800
O 1.4083 -0.8131 16.5252
O 0.0000 1.6262 16.5252
O 1.4117 0.8151 14.2586
O 1.6166 -0.9333 21.0517
O 0.0000 1.8666 21.0517
O -1.3166 -0.7602 37.8435
O 1.3975 0.8068 18.8651
O 1.3975 -0.8068 24.9401
O 0.0000 1.6137 24.9401
O 1.4117 -0.8151 29.5467
O 0.0000 1.6301 29.5467
O 1.6166 0.9333 22.7535
O 1.4083 0.8131 27.2800
O 1.3166 -0.7602 37.8435
O 0.0000 1.5203 37.8435
CELL_PARAMETERS angstrom
3.7764 2.1803 14.6017
-3.7764 2.1803 14.6017
0.0000 -4.3606 14.6017



no.,E (eV per atom)
1,-36.961
2,-25.958
3,-18.576
4,-25.801
5,-22.265
6,-18.784
7,-11.913
8,-43.542
9,-39.393
10,-17.103
11,-17.121
12,-16.748